MnAg2P | PBE-GGA | optimized geometry

The structure in POSCAR format:
```
MnAg2P
1.0
6.751 0.025 -0.008
5.106 4.417 0.008
-5.817 -2.520 2.323
Ag Mn P
2 1 1
Direct
0.067 0.067 0.000 Ag
0.433 0.433 0.000 Ag
0.750 0.250 0.500 Mn
0.250 0.750 0.500 P
```

Summary:
Size of the total moment (μB/cell): 3.3
Volume (Å³ per cell): 69.0
Formation energy (eV/atom): 0.124
Crystal system: orthorhombic

=====

MnAg2P | PBE-GGA | optimized geometry

The structure in POSCAR format:
```
MnAg2P
1.0
4.036 -0.008 -0.019
2.964 2.738 -0.019
0.974 0.380 6.030
Ag Mn P
2 1 1
Direct
0.997 0.997 0.024 Ag
0.760 0.760 0.721 Ag
0.511 0.511 0.422 Mn
0.232 0.232 0.333 P
```

Summary:
Size of the total moment (μB/cell): 2.1
Volume (Å³ per cell): 66.9
Formation energy (eV/atom): 0.186
Crystal system: monoclinic

=====

Mn4AgP | PBE-GGA | optimized geometry

The structure in POSCAR format:
```
Mn4AgP
1.0
3.757 -2.941 -0.623
-0.612 -4.767 0.228
0.335 -2.663 -3.994
Mn Ag P
4 1 1
Direct
0.624 0.624 0.624 Mn
0.624 0.127 0.624 Mn
0.127 0.624 0.624 Mn
0.624 0.624 0.127 Mn
0.000 0.000 0.000 Ag
0.250 0.250 0.250 P
```

Summary:
Size of the total moment (μB/cell): 6.5
Volume (Å³ per cell): 78.8
Formation energy (eV/atom): 0.541
Crystal system: cubic

=====

MnAgP2 | PBE-GGA | optimized geometry

The structure in POSCAR format:
```
MnAgP2
1.0
7.973 0.000 0.000
7.432 2.886 0.000
7.432 1.392 2.528
P Ag Mn
2 1 1
Direct
0.016 0.016 0.016 P
0.484 0.484 0.484 P
0.250 0.250 0.250 Ag
0.750 0.750 0.750 Mn
```

Summary:
Size of the total moment (μB/cell): 1.2
Volume (Å³ per cell): 58.2
Formation energy (eV/atom): -0.023
Crystal system: trigonal

=====

MnAg2P | PBE-GGA | optimized geometry

The structure in POSCAR format:
```
MnAg2P
1.0
-1.882 3.416 3.182
2.814 -3.635 2.049
2.396 1.653 -0.357
P Mn Ag
1 1 2
Direct
0.000 0.500 0.500 P
0.500 0.000 0.500 Mn
0.500 0.500 0.000 Ag
0.000 0.000 0.000 Ag
```

Summary:
Size of the total moment (μB/cell): 3.8
Volume (Å³ per cell): 66.6
Formation energy (eV/atom): 0.358
Crystal system: orthorhombic

=====

MnAg3P | PBE-GGA | optimized geometry

The structure in POSCAR format:
```
MnAg3P
1.0
4.881 0.000 0.000
0.000 4.881 0.000
0.000 0.000 4.881
P Ag Mn
1 3 1
Direct
0.500 0.500 0.500 P
0.500 0.000 0.000 Ag
0.000 0.500 0.000 Ag
0.000 0.000 0.500 Ag
0.000 0.000 0.000 Mn
```

Summary:
Size of the total moment (μB/cell): 4.9
Volume (Å³ per cell): 116.3
Formation energy (eV/atom): 1.235
Crystal system: cubic

=====

MnAg2P | PBE-GGA | optimized geometry

The structure in POSCAR format:
```
MnAg2P
1.0
-2.321 4.210 -1.598
-2.410 2.351 -3.786
-4.430 -1.211 1.209
Mn P Ag
1 1 2
Direct
0.750 0.750 0.750 Mn
0.250 0.250 0.250 P
0.002 0.002 0.998 Ag
0.498 0.498 0.502 Ag
```

Summary:
Size of the total moment (μB/cell): 4.0
Volume (Å³ per cell): 65.6
Formation energy (eV/atom): 0.242
Crystal system: monoclinic

=====

MnAg2P | PBE-GGA | optimized geometry

The structure in POSCAR format:
```
MnAg2P
1.0
-1.377 -2.511 0.023
1.288 -0.728 -2.452
6.163 -3.343 4.229
Mn P Ag
1 1 2
Direct
0.500 0.500 0.250 Mn
0.500 0.500 0.750 P
0.000 0.000 0.005 Ag
0.000 0.000 0.495 Ag
```

Summary:
Size of the total moment (μB/cell): 4.0
Volume (Å³ per cell): 67.2
Formation energy (eV/atom): 0.374
Crystal system: tetragonal

=====

E_tot across the listed records, respectively: -4.9467 -4.8841 -6.9486 -5.7332 -4.7121 -3.3921 -4.8289 -4.6962 eV per atom.